{"formula": "NpFeH6Rh", "functional": "PBE", "state": "relaxed", "total_magnetization_mub_per_fu": 1.24, "energy_ev_per_atom": -5.56, "lattice": [[-1.698, -1.955, -3.678], [-2.927, -3.392, 0.403], [-3.193, 2.756, 0.009]], "species": ["H", "H", "H", "H", "H", "H", "Fe", "Np", "Rh"], "fractional_positions": [[0.496, 0.008, 0.776], [0.008, 0.496, 0.224], [0.496, 0.496, 0.776], [0.008, 0.496, 0.776], [0.496, 0.496, 0.224], [0.496, 0.008, 0.224], [0.333, 0.333, 0.500], [0.000, 0.000, 0.000], [0.667, 0.667, 0.500]]}